(1)
Compound: Ac12Ru4Pb
Source: Alexandria via LeMat-Bulk
Functional: PBE-GGA
Structure: relaxed

Geometry as POSCAR:
```
Ac12Ru4Pb
1.0
9.613 0.000 0.000
-3.204 9.063 0.000
-3.204 -4.532 7.849
Ac Ru Pb
12 4 1
Cartesian
6.533 2.178 0.917
0.749 3.532 1.428
5.660 -1.529 5.504
-0.124 -2.649 6.421
-2.456 6.061 2.345
2.456 1.000 6.421
3.080 0.295 2.345
0.124 4.237 5.504
3.329 7.180 1.428
3.953 4.002 4.077
-0.749 0.529 3.772
-3.329 2.354 6.932
-1.602 4.532 0.000
4.807 0.000 0.000
1.602 2.266 3.925
-1.602 -2.266 3.925
0.000 0.000 0.000
```

Crystal system ... cubic
Magnetic moment ... 0.00 μB/f.u.
E_form ... -0.141 eV per atom

(2)
Compound: AcPb6S8
Source: Alexandria via LeMat-Bulk
Functional: PBE-GGA
Structure: relaxed

Geometry as POSCAR:
```
AcPb6S8
1.0
-3.985 6.656 -0.599
-4.863 -5.107 -3.288
-0.756 -1.672 7.561
Ac Pb S
1 6 8
Cartesian
0.000 0.000 0.000
-5.428 0.806 4.930
-6.541 -2.833 1.899
-7.142 1.783 0.483
-4.177 -0.929 -1.256
-3.063 2.710 1.776
-2.462 -1.906 3.192
-6.654 -0.085 2.546
-2.950 -0.038 1.129
-6.767 0.288 -1.823
-4.482 3.323 4.250
-4.622 -3.814 3.645
-2.838 -0.410 5.498
-5.123 -3.446 -0.576
-4.982 3.691 0.030
```

E_form (uncorrected) ... -0.627 eV/atom
Crystal system ... trigonal
Magnetic moment ... 0.00 μB/f.u.
Relative energy among the computed polymorphs ... 12.4 meV per atom

(3)
Compound: Ac2Pb2S5
Source: Alexandria via LeMat-Bulk
Functional: PBE-GGA
Structure: relaxed

Geometry as POSCAR:
```
Ac2Pb2S5
1.0
7.475 0.000 0.000
0.000 7.765 0.000
-3.737 -3.883 9.759
Ac Pb S
4 4 10
Cartesian
-0.196 4.190 2.430
3.933 0.308 7.329
3.933 0.308 2.430
-0.196 4.190 7.329
0.000 7.678 0.000
3.737 3.795 0.000
0.306 0.559 4.880
3.431 4.441 4.880
-1.637 2.023 8.734
5.374 5.905 1.025
-2.101 -1.860 8.734
5.838 2.023 1.025
1.295 -1.003 2.791
2.443 2.880 6.968
2.443 2.880 2.791
1.295 -1.003 6.968
-1.458 3.365 4.880
5.196 -0.518 4.880
```

E_form (uncorrected) ... -1.291 eV/atom
Crystal system ... orthorhombic
Magnetic moment ... 0.00 μB/f.u.

(4)
Compound: Ac6PbS5
Source: Alexandria via LeMat-Bulk
Functional: PBE-GGA
Structure: relaxed

Geometry as POSCAR:
```
Ac6PbS5
1.0
-6.643 0.444 3.804
1.370 0.155 7.516
1.014 6.687 3.562
Pb Ac S
1 6 5
Cartesian
0.000 0.000 0.000
-4.443 2.667 4.705
-0.601 2.528 6.480
-1.358 0.155 2.949
-3.915 0.443 8.371
-3.657 4.757 8.403
0.184 4.618 10.178
-2.412 4.797 5.527
0.796 2.297 3.692
-2.636 0.299 5.660
1.589 4.545 7.386
-1.846 2.488 9.356
```

E_form (uncorrected) ... -1.734 eV/atom
Crystal system ... monoclinic
Magnetic moment ... 0.00 μB/f.u.

(5)
Compound: AcPb6S8
Source: Alexandria via LeMat-Bulk
Functional: PBE-GGA
Structure: relaxed

Geometry as POSCAR:
```
AcPb6S8
1.0
-2.776 0.779 3.297
-7.706 1.746 -6.900
1.652 -9.684 3.679
Ac Pb S
1 6 8
Cartesian
-1.388 0.390 1.649
-7.034 0.503 -1.810
-7.823 -3.235 -1.591
-4.958 -1.760 0.472
-1.796 -7.662 1.886
-1.007 -3.924 1.667
-3.872 -5.398 -0.396
-9.179 -0.186 -3.281
-6.652 -5.061 -0.001
-4.231 0.824 0.646
0.349 -6.973 3.357
-2.179 -2.097 0.077
-4.599 -7.983 -0.570
-3.516 -5.299 2.586
-5.314 -1.860 -2.509
```

E_form (uncorrected) ... -0.639 eV/atom
Crystal system ... trigonal
Magnetic moment ... 0.00 μB/f.u.
Relative energy among the computed polymorphs ... 0.0 meV per atom

(6)
Compound: AcPbS3
Source: Alexandria via LeMat-Bulk
Functional: PBE-GGA
Structure: relaxed

Geometry as POSCAR:
```
AcPbS3
1.0
-2.789 -3.898 -0.422
0.694 -1.331 7.714
-5.406 6.749 0.816
Ac Pb S
2 2 6
Cartesian
-3.062 -1.079 2.775
-4.438 2.599 5.333
-6.621 1.658 1.021
-0.879 -0.138 7.087
-7.176 1.505 6.104
-0.324 0.015 2.004
-4.543 3.203 0.440
-2.957 -1.683 7.668
-2.064 0.958 4.797
-5.437 0.562 3.311
```

E_form (uncorrected) ... -1.091 eV/atom
Crystal system ... monoclinic
Magnetic moment ... 0.00 μB/f.u.

(7)
Compound: AcPbS2
Source: Alexandria via LeMat-Bulk
Functional: PBE-GGA
Structure: relaxed

Geometry as POSCAR:
```
AcPbS2
1.0
4.596 0.000 0.000
2.298 3.981 0.000
2.298 1.327 6.260
Pb Ac S
1 1 2
Cartesian
0.000 0.000 0.000
4.596 2.654 3.130
2.298 1.327 1.583
6.895 3.981 4.678
```

E_form (uncorrected) ... -1.207 eV/atom
Crystal system ... trigonal
Magnetic moment ... 0.00 μB/f.u.

(8)
Compound: AcPb3S4
Source: Alexandria via LeMat-Bulk
Functional: PBE-GGA
Structure: relaxed

Geometry as POSCAR:
```
AcPb3S4
1.0
-2.685 0.576 5.423
-3.672 -4.659 -1.323
4.031 -3.861 2.406
Pb Ac S
3 1 4
Cartesian
0.180 -4.260 0.541
0.673 -1.643 3.914
-3.178 -2.042 2.050
0.000 0.000 0.000
-1.342 0.288 2.711
-1.836 -2.330 -0.662
2.016 -1.930 1.203
-1.163 -3.972 3.253
```

E_form (uncorrected) ... -0.901 eV/atom
Crystal system ... cubic
Magnetic moment ... 0.00 μB/f.u.

(9)
Compound: Ac3PbS2
Source: Alexandria via LeMat-Bulk
Functional: PBE-GGA
Structure: relaxed

Geometry as POSCAR:
```
Ac3PbS2
1.0
-3.322 -3.081 0.500
-0.448 -0.555 -6.380
6.444 -3.078 3.045
Ac Pb S
3 1 2
Cartesian
-1.885 -1.818 -2.940
1.641 -1.762 0.039
1.034 -4.951 -2.873
-1.661 -1.540 0.250
1.261 -1.873 -3.155
1.414 -4.841 0.320
```

E_form (uncorrected) ... -1.476 eV/atom
Crystal system ... orthorhombic
Magnetic moment ... 0.00 μB/f.u.

(10)
Compound: Ac3PbS6
Source: Alexandria via LeMat-Bulk
Functional: PBE-GGA
Structure: relaxed

Geometry as POSCAR:
```
Ac3PbS6
1.0
-1.521 -2.751 6.515
5.471 -7.299 -1.805
5.834 6.082 3.930
Ac Pb S
6 2 12
Cartesian
8.410 -3.652 4.229
7.723 -2.307 8.653
5.068 -0.383 4.301
4.234 -4.457 6.402
0.692 -1.550 7.331
1.379 -2.895 2.907
5.749 3.498 2.905
4.763 -6.150 2.617
7.171 -1.609 2.527
6.425 -2.424 6.025
7.344 1.739 4.107
6.414 -5.881 4.688
5.533 5.211 5.034
4.792 1.395 6.787
5.350 -4.716 0.320
4.428 -8.861 2.850
3.503 2.153 3.384
2.573 -5.468 3.965
3.539 -1.218 1.844
2.793 -2.033 5.342
```

E_form (uncorrected) ... -1.677 eV/atom
Crystal system ... orthorhombic
Magnetic moment ... 0.15 μB/f.u.

(11)
Compound: AcPbS2
Source: Alexandria via LeMat-Bulk
Functional: PBE-GGA
Structure: relaxed

Geometry as POSCAR:
```
AcPbS2
1.0
-1.317 2.437 9.142
-1.958 -7.254 0.128
6.651 -1.770 1.430
Ac Pb S
4 4 8
Cartesian
4.723 -1.077 9.192
2.163 -2.557 1.988
-1.347 -5.510 1.508
1.213 -4.030 8.711
2.062 -6.563 4.767
1.313 -0.024 5.933
-0.987 -3.299 5.713
4.363 -3.288 4.987
4.839 -1.282 1.582
-0.577 -1.654 9.034
-1.464 -5.305 9.118
3.952 -4.933 1.665
0.349 -0.555 3.378
0.505 -4.484 3.686
3.026 -6.032 7.322
2.870 -2.103 7.014
```

E_form (uncorrected) ... -1.341 eV/atom
Crystal system ... monoclinic
Magnetic moment ... 0.00 μB/f.u.

(12)
Compound: AcPbS2
Source: Alexandria via LeMat-Bulk
Functional: PBE-GGA
Structure: relaxed

Geometry as POSCAR:
```
AcPbS2
1.0
4.231 0.000 0.000
2.115 3.664 0.000
2.115 1.221 7.395
Ac Pb S
1 1 2
Cartesian
4.231 2.443 3.715
6.346 3.664 7.368
2.115 1.221 5.579
2.115 1.221 1.826
```

E_form (uncorrected) ... -1.167 eV/atom
Crystal system ... trigonal
Magnetic moment ... 0.97 μB/f.u.

(13)
Compound: AcPbS4
Source: Alexandria via LeMat-Bulk
Functional: PBE-GGA
Structure: relaxed

Geometry as POSCAR:
```
AcPbS4
1.0
-2.436 -3.364 -1.775
1.488 -2.783 3.232
-6.295 2.083 4.692
Ac Pb S
1 1 4
Cartesian
0.000 0.000 0.000
-3.621 -2.032 3.074
-5.944 -0.118 2.635
-3.981 0.172 5.138
-2.787 -1.163 0.282
-0.825 -0.872 2.786
```

E_form (uncorrected) ... -0.656 eV/atom
Crystal system ... tetragonal
Magnetic moment ... 0.00 μB/f.u.

(14)
Compound: Ac3Pb2S
Source: Alexandria via LeMat-Bulk
Functional: PBE-GGA
Structure: relaxed

Geometry as POSCAR:
```
Ac3Pb2S
1.0
4.218 0.000 -1.760
-1.294 5.774 -3.102
0.936 0.737 8.177
Ac Pb S
3 2 1
Cartesian
1.462 2.887 -2.431
0.719 1.087 1.724
3.141 5.424 1.591
0.176 4.131 0.421
3.684 2.380 2.894
2.109 0.000 -0.880
```

E_form (uncorrected) ... -0.954 eV/atom
Crystal system ... orthorhombic
Magnetic moment ... 0.00 μB/f.u.

(15)
Compound: Ac7PbS5
Source: Alexandria via LeMat-Bulk
Functional: PBE-GGA
Structure: relaxed

Geometry as POSCAR:
```
Ac7PbS5
1.0
4.450 -0.002 0.000
-2.228 7.073 0.007
0.000 -0.033 25.944
Ac Pb S
14 2 10
Cartesian
-0.003 6.690 6.491
2.225 0.356 19.459
2.224 1.906 0.927
-0.002 5.141 25.024
-0.002 5.155 13.902
2.224 1.890 12.048
-0.002 2.479 4.472
2.223 4.567 21.479
2.223 4.575 17.446
-0.002 2.470 8.505
2.223 5.711 2.810
-0.001 1.336 23.141
-0.001 1.347 15.778
2.223 5.698 10.172
2.222 4.150 6.492
0.000 2.896 19.459
0.000 0.005 0.000
2.224 3.218 24.171
-0.002 3.829 1.781
2.227 0.536 9.364
-0.005 6.509 16.586
0.000 -0.013 12.972
-0.002 3.815 11.199
2.224 3.230 14.752
-0.005 6.500 22.343
2.227 0.547 3.608
```

E_form (uncorrected) ... -1.612 eV/atom
Crystal system ... orthorhombic
Magnetic moment ... 0.45 μB/f.u.

(16)
Compound: Ac4SbPbS2
Source: Alexandria via LeMat-Bulk
Functional: PBE-GGA
Structure: relaxed

Geometry as POSCAR:
```
Ac4SbPbS2
1.0
-0.963 1.495 -4.266
-5.820 -5.222 -0.516
-6.836 3.246 2.680
Ac Sb Pb S
4 1 1 2
Cartesian
-9.548 -1.592 1.597
-4.070 1.111 -3.699
-6.610 -2.462 -1.874
-7.008 1.981 -0.228
-6.328 -0.988 1.082
-3.391 -1.864 -2.391
-6.836 3.246 2.680
-3.899 2.370 -0.793
```

E_form (uncorrected) ... -1.398 eV/atom
Crystal system ... monoclinic
Magnetic moment ... 0.00 μB/f.u.

(17)
Compound: Ac4Sb2PbS
Source: Alexandria via LeMat-Bulk
Functional: PBE-GGA
Structure: relaxed

Geometry as POSCAR:
```
Ac4Sb2PbS
1.0
-3.616 1.686 -2.510
-4.586 0.176 6.726
3.908 7.152 -0.827
Ac Sb Pb S
4 2 1 1
Cartesian
-2.020 2.647 0.262
-2.274 6.367 3.127
1.784 5.462 1.099
-2.461 1.866 4.799
0.146 4.419 -1.669
-0.339 3.664 2.949
0.000 0.000 0.000
-4.101 0.931 2.108
```

E_form (uncorrected) ... -1.202 eV/atom
Crystal system ... monoclinic
Magnetic moment ... 0.00 μB/f.u.

(18)
Compound: Ac2ScPbS6
Source: Alexandria via LeMat-Bulk
Functional: PBE-GGA
Structure: relaxed

Geometry as POSCAR:
```
Ac2ScPbS6
1.0
-6.563 -2.092 0.251
-0.143 -0.456 -7.535
3.073 -9.438 0.512
Ac Sc Pb S
4 2 2 12
Cartesian
0.403 -2.837 -6.682
-1.298 -8.460 -3.966
-4.037 -9.148 -0.090
-2.336 -3.525 -2.806
-3.282 -1.046 0.126
1.465 -4.947 -3.511
-1.745 -5.765 0.382
-0.072 -0.228 -3.768
-2.087 -1.623 -5.148
-3.847 -7.434 -5.540
-1.547 -10.362 -1.624
0.213 -4.550 -1.232
-0.755 -5.111 -4.795
-2.521 -10.943 -5.520
-2.879 -6.874 -1.977
-1.113 -1.042 -1.252
-4.971 -4.529 -3.735
-0.213 -8.391 -6.733
1.337 -7.456 -3.037
-3.421 -3.594 -0.038
```

E_form (uncorrected) ... -1.612 eV/atom
Crystal system ... monoclinic
Magnetic moment ... 0.00 μB/f.u.

(19)
Compound: Ac6PbSe3S2
Source: Alexandria via LeMat-Bulk
Functional: PBE-GGA
Structure: relaxed

Geometry as POSCAR:
```
Ac6PbSe3S2
1.0
4.505 0.000 0.000
0.000 8.985 0.286
-2.253 -2.626 9.455
Ac Pb Se S
6 1 3 2
Cartesian
0.000 6.394 6.488
2.253 4.281 3.383
2.253 -0.035 3.253
0.000 2.324 0.181
2.253 4.035 9.560
0.000 2.078 6.358
2.253 0.000 0.000
2.253 4.492 0.143
2.253 -0.241 6.411
0.000 6.600 3.331
2.253 4.222 6.439
0.000 2.137 3.302
```

E_form (uncorrected) ... -1.664 eV/atom
Crystal system ... monoclinic
Magnetic moment ... 0.00 μB/f.u.

(20)
Compound: Ac4PbSe2S
Source: Alexandria via LeMat-Bulk
Functional: PBE-GGA
Structure: relaxed

Geometry as POSCAR:
```
Ac4PbSe2S
1.0
-1.276 0.675 -8.989
8.597 -2.640 -1.421
-5.507 -5.179 4.916
Ac Pb Se S
8 2 4 2
Cartesian
0.573 -6.918 1.625
-1.579 -2.794 -4.711
3.392 -4.350 -0.783
1.240 -0.227 -7.119
5.402 -1.501 -7.802
2.737 -4.007 -5.424
-0.924 -3.138 -0.071
-3.588 -5.643 2.307
0.907 -3.572 -2.747
1.813 -7.144 -5.495
-0.638 0.337 -4.495
-3.392 -2.252 -2.037
-2.754 -2.589 2.458
3.660 -0.983 -5.205
4.298 -1.320 -0.711
0.269 -3.235 -7.242
```

E_form (uncorrected) ... -1.547 eV/atom
Crystal system ... orthorhombic
Magnetic moment ... 0.00 μB/f.u.

no.,DOS(E_F) (states/eV/f.u.),V (Å³ per cell)
1,16.06,683.8
2,8.60,434.5
3,0.00,566.4
4,4.93,365.7
5,8.78,417.4
6,1.05,314.0
7,2.21,114.5
8,3.38,224.6
9,2.62,195.8
10,5.59,609.3
11,0.91,495.0
12,0.68,114.6
13,4.27,165.7
14,4.17,220.0
15,9.54,816.6
16,2.89,273.3
17,1.63,296.4
18,3.83,517.2
19,6.25,386.1
20,3.60,533.6